[1]
LaHfP | GGA-PBE | optimized geometry

## Properties
Electronic total energy   -0.5675 Ry per atom
DFT formation energy   -0.957 eV/atom

Cell: 4.1262 4.1262 8.1320 Å, 90.00 90.00 90.00°
Space group P4/nmm (No. 129, origin choice 2)
One atom of each set of equivalent atoms:
La (0.2500, 0.2500, 0.1450) x2
Hf (0.2500, 0.7500, 0.5000) x2
P (0.2500, 0.2500, 0.7295) x2

[2]
BaBeZn3 | GGA-PBE | optimized geometry

## Properties
Energy above the most stable polymorph in this dataset   0.0 meV per atom
Electronic total energy   -0.1363 Ry per atom
DFT formation energy   0.040 eV/atom

Cell: 4.7128 4.7128 4.7128 Å, 90.00 90.00 90.00°
Space group Pm-3m (No. 221)
One atom of each set of equivalent atoms:
Ba (0.0000, 0.0000, 0.0000) x1
Be (0.5000, 0.5000, 0.5000) x1
Zn (0.0000, 0.5000, 0.5000) x3

[3]
IrPbS2N | GGA-PBE | optimized geometry

## Properties
Electronic total energy   -0.2821 Ry per atom
Formation energy (no corrections)   45.9 kcal/mol of atoms

Cell: 5.1783 5.1783 4.2101 Å, 90.00 90.00 90.00°
Space group P4/mmm (No. 123)
One atom of each set of equivalent atoms:
Ir (0.0000, 0.0000, 0.0000) x1
Pb (0.5000, 0.5000, 0.5000) x1
S (0.0000, 0.5000, 0.5000) x2
N (0.5000, 0.5000, 0.0000) x1

[4]
KZr2Tc | GGA-PBE | optimized geometry

## Properties
Energy above the most stable polymorph in this dataset   371.8 meV per atom
Electronic total energy   -0.4875 Ry per atom
DFT formation energy   0.507 eV/atom

Cell: 3.3207 5.2147 11.0475 Å, 90.00 90.00 90.00°
Space group Cmm2 (No. 35)
One atom of each set of equivalent atoms:
K (0.0000, 0.0000, 0.0000) x2
Zr (0.0000, 0.0000, 0.4393) x2
Zr (0.0000, 0.5000, 0.6822) x2
Tc (0.0000, 0.5000, 0.2619) x2

[5]
Sc3AgGe | GGA-PBE | optimized geometry

## Properties
Energy above the most stable polymorph in this dataset   280.8 meV per atom
Electronic total energy   -0.3654 Ry per atom
DFT formation energy   0.321 eV/atom

Cell: 5.0926 5.0926 5.0926 Å, 90.00 90.00 90.00°
Space group Pm-3m (No. 221)
One atom of each set of equivalent atoms:
Sc (0.0000, 0.0000, 0.5000) x3
Ag (0.0000, 0.0000, 0.0000) x1
Ge (0.5000, 0.5000, 0.5000) x1

[6]
Pr3CuSe2 | GGA-PBE | optimized geometry

## Properties
Electronic total energy   -0.4032 Ry per atom
Formation energy (no corrections)   -28.9 kcal/mol of atoms

Cell: 6.0222 12.7045 8.5674 Å, 90.00 90.03 90.00°
Space group P2_1/c (No. 14)
One atom of each set of equivalent atoms:
Pr (0.2491, 0.0796, 0.1206) x4
Pr (0.2498, 0.0866, 0.6239) x4
Pr (0.2511, 0.7477, 0.1315) x4
Cu (0.2515, 0.5861, 0.3788) x4
Se (0.2489, 0.2480, 0.3731) x4
Se (0.2502, 0.5830, 0.8781) x4

[7]
Ti3ZnGa2 | GGA-PBE | optimized geometry

## Properties
Electronic total energy   -0.4077 Ry per atom
DFT formation energy   -0.378 eV/atom

Cell: 2.8131 2.8131 11.8459 Å, 90.00 90.00 90.00°
Space group P4/mmm (No. 123)
One atom of each set of equivalent atoms:
Ti (0.0000, 0.0000, 0.0000) x1
Ti (0.0000, 0.0000, 0.3332) x2
Zn (0.5000, 0.5000, 0.5000) x1
Ga (0.5000, 0.5000, 0.1674) x2